Record 1
VASP calculation (PBE) on a relaxed Sc3AuO crystal.

- uncorrected formation energy (eV per atom) = -0.535

Cell lengths 4.149, 4.149, 15.080 Å; angles 90.00, 90.00, 120.00 degrees
Sites, in units of the cell vectors:
Sc  0.000  0.000  0.750
Sc  0.667  0.333  0.433
Sc  0.333  0.667  0.933
Sc  0.000  0.000  0.250
Sc  0.667  0.333  0.067
Sc  0.333  0.667  0.567
Au  0.667  0.333  0.250
Au  0.333  0.667  0.750
O  0.000  0.000  0.000
O  0.000  0.000  0.500



Record 2
VASP calculation (PBE) on a relaxed Zr6TiTc5 crystal.

- E_form (eV/atom) = -0.30

Cell lengths 4.680, 6.657, 7.396 Å; angles 90.00, 108.52, 90.00 degrees
Last column: magnetic moment on the atom in μB.
Sites, in units of the cell vectors:
Zr  0.830  0.254  0.659  0.04
Zr  0.170  0.254  0.341  0.04
Zr  0.500  0.260  0.000  0.07
Zr  0.170  0.746  0.341  0.04
Zr  0.500  0.740  0.000  0.07
Zr  0.830  0.746  0.659  0.04
Tc  0.667  0.500  0.335  -0.05
Tc  0.660  0.000  0.321  -0.09
Tc  0.340  0.000  0.679  -0.09
Tc  0.333  0.500  0.665  -0.05
Tc  0.000  0.500  0.000  -0.04
Ti  0.000  0.000  0.000  0.63



Record 3
VASP calculation (PBE) on a relaxed Ba2Sn3Au6 crystal.

- E_form (eV/atom) = -0.48

Cell lengths 4.982, 8.336, 8.336 Å; angles 120.00, 90.00, 90.00 degrees
Sites, in units of the cell vectors:
Au  0.000  0.802  0.000
Au  0.000  0.198  0.198
Au  0.500  0.662  0.662
Au  0.500  0.000  0.338
Au  0.500  0.338  0.000
Au  0.000  0.000  0.802
Ba  0.000  0.333  0.667
Ba  0.000  0.667  0.333
Sn  0.500  0.000  0.669
Sn  0.500  0.669  0.000
Sn  0.500  0.331  0.331